# 1
VASP calculation (PBE) on a relaxed Ac2Sb3IrRh4 crystal.

Unit cell a=4.5766 b=4.5766 c=10.5688 alpha=90.00 beta=90.00 gamma=90.00
Last column: nearest neighbours and their distance in Å.
Space group P-4m2 (No. 115)
Asymmetric unit:
1 Ac 0.0000 0.5000 0.2454 (multiplicity 2)  6 Sb 3.46-3.50, 2 Ir 3.46, 9 Rh 3.49-3.87
2 Sb 0.0000 0.0000 0.0000 (multiplicity 1)  4 Rh 2.62
3 Sb 0.0000 0.5000 0.6292 (multiplicity 2)  5 Rh 2.64-2.66
4 Ir 0.5000 0.5000 0.0000 (multiplicity 1)  4 Rh 2.62
5 Rh 0.0000 0.0000 0.5000 (multiplicity 1)  4 Sb 2.66
6 Rh 0.0000 0.5000 0.8789 (multiplicity 2)  3 Sb 2.62-2.64, 2 Ir 2.62
7 Rh 0.5000 0.5000 0.5000 (multiplicity 1)  4 Sb 2.66

Properties
Calculated total energy = -0.24130 hartree per atom
DOS at the Fermi energy = 9.91 states/eV/cell

# 2
VASP calculation (PBE) on a relaxed SrNd2Eu crystal.

Unit cell a=8.6278 b=8.6278 c=8.6278 alpha=90.00 beta=90.00 gamma=90.00
Last column: nearest neighbours and their distance in Å.
Space group Fm-3m (No. 225)
Asymmetric unit:
1 Sr 0.0000 0.0000 0.0000 (multiplicity 4)  8 Nd 3.74
2 Nd 0.2500 0.2500 0.2500 (multiplicity 8)  4 Eu 3.74, 4 Sr 3.74
3 Eu 0.0000 0.0000 0.5000 (multiplicity 4)  8 Nd 3.74

Properties
Calculated total energy = -0.19040 hartree per atom
Energy of formation from the pure elements = 0.192 eV/atom
DOS at the Fermi energy = 22.26 states/eV/cell

# 3
VASP calculation (PBE) on a relaxed Hf3PdPt crystal.

Unit cell a=5.0058 b=5.0058 c=5.0058 alpha=90.00 beta=90.00 gamma=90.00
Last column: nearest neighbours and their distance in Å.
Space group Pm-3m (No. 221)
Asymmetric unit:
1 Hf 0.0000 0.0000 0.5000 (multiplicity 3)  2 Pt 2.50
2 Pd 0.5000 0.5000 0.5000 (multiplicity 1)  12 Hf 3.54
3 Pt 0.0000 0.0000 0.0000 (multiplicity 1)  6 Hf 2.50

Properties
Calculated total energy = -0.29093 hartree per atom
Energy of formation from the pure elements = 0.302 eV/atom
DOS at the Fermi energy = 7.39 states/eV/cell

# 4
VASP calculation (PBE) on a relaxed Ac2CdSn3Au4 crystal.

Unit cell a=4.7234 b=4.7234 c=11.4691 alpha=90.00 beta=90.00 gamma=90.00
Last column: nearest neighbours and their distance in Å.
Space group P-4m2 (No. 115)
Asymmetric unit:
1 Ac 0.0000 0.5000 0.2383 (multiplicity 2)  6 Sn 3.56-3.82, 8 Au 3.61-3.64, 2 Cd 3.82
2 Cd 0.0000 0.0000 0.5000 (multiplicity 1)  4 Au 2.83
3 Sn 0.0000 0.5000 0.8700 (multiplicity 2)  5 Au 2.69-2.79
4 Sn 0.5000 0.5000 0.5000 (multiplicity 1)  4 Au 2.83
5 Au 0.0000 0.0000 0.0000 (multiplicity 1)  4 Sn 2.79
6 Au 0.0000 0.5000 0.6359 (multiplicity 2)  3 Sn 2.69-2.83, 2 Cd 2.83
7 Au 0.5000 0.5000 0.0000 (multiplicity 1)  4 Sn 2.79

Properties
Calculated total energy = -0.14878 hartree per atom
Energy of formation from the pure elements = -0.624 eV/atom
DOS at the Fermi energy = 4.53 states/eV/cell

# 5
VASP calculation (PBE) on a relaxed Ti5Sb3C crystal.

Unit cell a=8.0074 b=8.0074 c=5.5245 alpha=90.00 beta=90.00 gamma=120.00
Last column: nearest neighbours and their distance in Å.
Space group P6_3/mcm (No. 193)
Asymmetric unit:
1 Ti 0.0000 0.2111 0.2500 (multiplicity 6)  2 C 2.18
2 Ti 0.3333 0.6667 0.0000 (multiplicity 4)  2 Ti 2.76, 6 Sb 2.80
3 Sb 0.0000 0.4031 0.7500 (multiplicity 6)  7 Ti 2.80-3.09
4 C 0.0000 0.0000 0.0000 (multiplicity 2)  6 Ti 2.18

Properties
Calculated total energy = -0.27098 hartree per atom
DOS at the Fermi energy = 13.49 states/eV/cell

# 6
VASP calculation (PBE) on a relaxed Tm8Tl2In3 crystal.

Unit cell a=8.5775 b=16.2627 c=5.4089 alpha=90.00 beta=90.00 gamma=90.00
Last column: nearest neighbours and their distance in Å.
Space group Cmmm (No. 65)
Asymmetric unit:
1 Tm 0.0000 0.1076 0.0000 (multiplicity 4)  4 In 3.22-3.26, 2 Tl 3.32, 2 Tm 3.47-3.50
2 Tm 0.0000 0.3209 0.0000 (multiplicity 4)  2 Tl 3.11, 2 In 3.30, 5 Tm 3.42-3.47
3 Tm 0.2099 0.3867 0.5000 (multiplicity 8)  2 Tl 3.10-3.17, 3 In 3.10-3.28, 2 Tm 3.42
4 Tl 0.0000 0.2264 0.5000 (multiplicity 4)  8 Tm 3.10-3.32
5 In 0.0000 0.0000 0.5000 (multiplicity 2)  8 Tm 3.10-3.22
6 In 0.1795 0.5000 0.0000 (multiplicity 4)  1 In 3.08, 8 Tm 3.26-3.30

Properties
Calculated total energy = -0.14223 hartree per atom
Energy of formation from the pure elements = -0.123 eV/atom
DOS at the Fermi energy = 25.63 states/eV/cell

# 7
VASP calculation (PBE) on a relaxed TeSe2NCl crystal.

Unit cell a=5.5242 b=5.5242 c=3.4310 alpha=90.00 beta=90.00 gamma=90.00
Last column: nearest neighbours and their distance in Å.
Space group P4/mmm (No. 123)
Asymmetric unit:
1 Te 0.0000 0.0000 0.0000 (multiplicity 1)  8 Se 3.25, 2 Te 3.43
2 Se 0.0000 0.5000 0.5000 (multiplicity 2)  2 Cl 2.76
3 N 0.5000 0.5000 0.0000 (multiplicity 1)  2 Cl 1.72
4 Cl 0.5000 0.5000 0.5000 (multiplicity 1)  2 N 1.72

Properties
Calculated total energy = -0.09613 hartree per atom
DOS at the Fermi energy = 4.04 states/eV/cell

# 8
VASP calculation (PBE) on a relaxed LuAgRh2 crystal.

Unit cell a=3.3411 b=3.3411 c=6.1975 alpha=90.00 beta=90.00 gamma=90.00
Last column: nearest neighbours and their distance in Å.
Space group P4/mmm (No. 123)
Asymmetric unit:
1 Lu 0.0000 0.0000 0.0000 (multiplicity 1)  8 Rh 2.83, 2 Ag 3.10
2 Ag 0.0000 0.0000 0.5000 (multiplicity 1)  8 Rh 2.82, 2 Lu 3.10
3 Rh 0.5000 0.5000 0.2513 (multiplicity 2)  4 Ag 2.82, 4 Lu 2.83, 2 Rh 3.08-3.12

Properties
Calculated total energy = -0.21611 hartree per atom
Energy of formation from the pure elements = -0.362 eV/atom
DOS at the Fermi energy = 3.95 states/eV/cell